[1]
## Te2Rh3 (PBE)

Data for a relaxed Te2Rh3 crystal.

Values from the calculation:
Symmetry = Cmcm, No. 63

The structure in CIF format:
```
data_Te2Rh3
_symmetry_space_group_name_H-M 'P 1'
_symmetry_Int_Tables_number 1
_symmetry_space_group_name_Hall 'P 1'
_cell_length_a 6.5618
_cell_length_b 6.5618
_cell_length_c 7.8243
_cell_angle_alpha 90.00
_cell_angle_beta 90.00
_cell_angle_gamma 146.87
loop_
_atom_site_label
_atom_site_fract_x
_atom_site_fract_y
_atom_site_fract_z
Te1 0.0000 0.0000 0.0000
Te2 0.0000 0.0000 0.5000
Te3 0.2531 0.7469 0.7500
Te4 0.7469 0.2531 0.2500
Rh1 0.3389 0.6611 0.0599
Rh2 0.3389 0.6611 0.4401
Rh3 0.4635 0.5365 0.7500
Rh4 0.5365 0.4635 0.2500
Rh5 0.6611 0.3389 0.5599
Rh6 0.6611 0.3389 0.9401
```



[2]
## TeRh (PBE)

Data for a relaxed TeRh crystal.

Values from the calculation:
Symmetry = Fd-3m, No. 227

The structure in CIF format:
```
data_TeRh
_symmetry_space_group_name_H-M 'P 1'
_symmetry_Int_Tables_number 1
_symmetry_space_group_name_Hall 'P 1'
_cell_length_a 4.8054
_cell_length_b 4.8054
_cell_length_c 4.8054
_cell_angle_alpha 60.00
_cell_angle_beta 60.00
_cell_angle_gamma 60.00
loop_
_atom_site_label
_atom_site_fract_x
_atom_site_fract_y
_atom_site_fract_z
Te1 0.1250 0.1250 0.1250
Te2 0.8750 0.8750 0.8750
Rh1 0.3750 0.3750 0.3750
Rh2 0.6250 0.6250 0.6250
```



[3]
## TeRh (PBE)

Data for a relaxed TeRh crystal.

Values from the calculation:
Symmetry = P4_2/mnm, No. 136

The structure in CIF format:
```
data_TeRh
_symmetry_space_group_name_H-M 'P 1'
_symmetry_Int_Tables_number 1
_symmetry_space_group_name_Hall 'P 1'
_cell_length_a 7.6033
_cell_length_b 7.6033
_cell_length_c 3.6041
_cell_angle_alpha 90.00
_cell_angle_beta 90.00
_cell_angle_gamma 90.00
loop_
_atom_site_label
_atom_site_fract_x
_atom_site_fract_y
_atom_site_fract_z
Te1 0.2026 0.2026 0.0000
Te2 0.2974 0.7026 0.5000
Te3 0.7026 0.2974 0.5000
Te4 0.7974 0.7974 0.0000
Rh1 0.1307 0.8693 0.0000
Rh2 0.3693 0.3693 0.5000
Rh3 0.6307 0.6307 0.5000
Rh4 0.8693 0.1307 0.0000
```



[4]
## TeRh (PBE)

Data for a relaxed TeRh crystal.

Values from the calculation:
Symmetry = Imm2, No. 44

The structure in CIF format:
```
data_TeRh
_symmetry_space_group_name_H-M 'P 1'
_symmetry_Int_Tables_number 1
_symmetry_space_group_name_Hall 'P 1'
_cell_length_a 7.0198
_cell_length_b 7.0198
_cell_length_c 7.0198
_cell_angle_alpha 148.87
_cell_angle_beta 59.24
_cell_angle_gamma 130.95
loop_
_atom_site_label
_atom_site_fract_x
_atom_site_fract_y
_atom_site_fract_z
Te1 0.0000 0.0000 0.0000
Te2 0.3243 0.0120 0.3124
Te3 0.6996 0.0120 0.6876
Rh1 0.1234 0.4583 0.6651
Rh2 0.3094 0.8094 0.5000
Rh3 0.7932 0.4583 0.3349
```



no.,density of states at the Fermi level (states/eV/cell),total DFT energy (no corrections) (eV per atom),raw formation energy (eV per formula unit)
1,9.131,-5.929,-1.310
2,3.952,-4.731,1.031
3,5.355,-5.437,-0.380
4,4.005,-5.475,-0.456